A plane-wave DFT calculation with GGA+U was carried out for a relaxed structure of BaUFeO6.

The structure in POSCAR format:
```
BaUFeO6
1.0
5.254 0.000 0.000
0.000 5.254 0.000
0.000 0.000 10.250
O U Ba Fe
12 2 2 2
Direct
0.722 0.722 0.708 O
0.275 0.275 0.290 O
0.778 0.222 0.208 O
0.839 0.161 0.498 O
0.161 0.839 0.498 O
0.225 0.775 0.790 O
0.222 0.778 0.208 O
0.661 0.661 0.998 O
0.725 0.725 0.290 O
0.339 0.339 0.998 O
0.775 0.225 0.790 O
0.278 0.278 0.708 O
0.000 0.000 0.666 U
0.500 0.500 0.166 U
0.500 0.500 0.507 Ba
0.000 0.000 0.007 Ba
0.000 0.000 0.336 Fe
0.500 0.500 0.836 Fe
```

Output
Fermi-level density of states = 5.18 states/eV/f.u.
E = -7.646 eV/atom